No. 1
The following is a DFT calculation (SCAN) of Ca2CuIr at its PBEsol-relaxed geometry.

Structure (POSCAR):
```
Ca2CuIr
1.0
3.085 0.000 0.000
0.000 4.888 0.000
0.000 0.000 5.582
Ca Cu Ir
2 1 1
Direct
0.000 0.000 0.000
0.500 0.500 0.500
0.000 0.000 0.500
0.500 0.500 0.000
```

Computed properties:
energy of formation = 147 meV/atom
DOS(E_F) = 1.62 states/eV/cell
SG = Pmmm
volume = 21.04 Å³ per atom
DFT total energy = -105.04 eV per formula unit


No. 2
The following is a DFT calculation (SCAN) of CaCu2Ir at its PBEsol-relaxed geometry.

Structure (POSCAR):
```
CaCu2Ir
1.0
0.000 3.117 3.117
3.117 0.000 3.117
3.117 3.117 0.000
Ca Cu Ir
1 2 1
Direct
0.000 0.000 0.000
0.250 0.250 0.250
0.750 0.750 0.750
0.500 0.500 0.500
```

Computed properties:
energy of formation = 43 meV/atom
DOS(E_F) = 1.93 states/eV/cell
SG = Fm-3m
volume = 15.14 Å³ per atom
DFT total energy = -110.99 eV per formula unit


No. 3
The following is a DFT calculation (SCAN) of KCaCuIr2 at its PBEsol-relaxed geometry.

Structure (POSCAR):
```
KCaCuIr2
1.0
4.649 0.000 0.000
0.000 4.649 0.000
0.000 0.000 4.947
K Ca Cu Ir
1 1 1 2
Direct
0.000 0.000 0.000
0.500 0.500 0.000
0.000 0.000 0.500
0.000 0.500 0.500
0.500 0.000 0.500
```

Computed properties:
energy of formation = 801 meV/atom
DOS(E_F) = 6.31 states/eV/cell
SG = P4/mmm
volume = 21.39 Å³ per atom
DFT total energy = -171.39 eV per formula unit


No. 4
The following is a DFT calculation (SCAN) of CaLaCuIr at its PBEsol-relaxed geometry.

Structure (POSCAR):
```
CaLaCuIr
1.0
4.091 0.000 0.000
0.000 2.011 5.509
0.000 -2.011 5.509
Ca La Cu Ir
1 1 1 1
Direct
0.000 0.000 0.000
0.500 0.280 0.280
0.500 0.573 0.573
0.000 0.716 0.716
```

Computed properties:
energy of formation = -498 meV/atom
DOS(E_F) = 1.99 states/eV/cell
SG = Amm2
volume = 22.66 Å³ per atom
DFT total energy = -141.06 eV per formula unit


No. 5
The following is a DFT calculation (SCAN) of Ca3CuIrO6 at its PBEsol-relaxed geometry.

Structure (POSCAR):
```
Ca3CuIrO6
1.0
4.516 -4.594 0.000
4.516 4.594 0.000
-0.016 0.000 6.407
Ca Cu Ir O
6 2 2 12
Direct
0.099 0.901 0.750
0.241 0.389 0.880
0.389 0.241 0.380
0.611 0.759 0.620
0.759 0.611 0.120
0.901 0.099 0.250
0.307 0.693 0.250
0.693 0.307 0.750
0.000 0.500 0.500
0.500 0.000 0.000
0.075 0.209 0.568
0.101 0.465 0.207
0.209 0.075 0.068
0.294 0.598 0.545
0.402 0.706 0.955
0.465 0.101 0.707
0.535 0.899 0.293
0.598 0.294 0.045
0.706 0.402 0.455
0.791 0.925 0.932
0.899 0.535 0.793
0.925 0.791 0.432
```

Computed properties:
DOS(E_F) = 2.21 states/eV/cell
SG = C2/c
formation energy (no corrections) = -2.168 eV/atom
volume = 12.08 Å³ per atom
DFT total energy = -176.52 eV per formula unit


No. 6
The following is a DFT calculation (SCAN) of KCaCu3 at its PBEsol-relaxed geometry.

Structure (POSCAR):
```
KCaCu3
1.0
5.078 0.000 0.000
0.000 5.078 0.000
0.000 0.000 5.078
K Ca Cu
1 1 3
Direct
0.000 0.000 0.000
0.500 0.500 0.500
0.000 0.000 0.500
0.000 0.500 0.000
0.500 0.000 0.000
```

Computed properties:
energy of formation = 1197 meV/atom
DOS(E_F) = 2.01 states/eV/cell
SG = Pm-3m
volume = 26.19 Å³ per atom
DFT total energy = -57.60 eV per formula unit


No. 7
The following is a DFT calculation (SCAN) of KCaCuSe2 at its PBEsol-relaxed geometry.

Structure (POSCAR):
```
KCaCuSe2
1.0
5.430 0.000 0.000
0.000 5.430 0.000
0.000 0.000 5.272
K Ca Cu Se
1 1 1 2
Direct
0.000 0.000 0.000
0.500 0.500 0.500
0.500 0.500 0.000
0.000 0.500 0.500
0.500 0.000 0.500
```

Computed properties:
DOS(E_F) = 2.65 states/eV/cell
SG = P4/mmm
formation energy (no corrections) = -0.326 eV/atom
volume = 31.09 Å³ per atom
DFT total energy = -74.98 eV per formula unit


No. 8
The following is a DFT calculation (SCAN) of KCaCuTc2 at its PBEsol-relaxed geometry.

Structure (POSCAR):
```
KCaCuTc2
1.0
4.698 0.000 0.000
0.000 4.698 0.000
0.000 0.000 5.246
K Ca Cu Tc
1 1 1 2
Direct
0.000 0.000 0.000
0.500 0.500 0.000
0.500 0.500 0.500
0.000 0.500 0.500
0.500 0.000 0.500
```

Computed properties:
energy of formation = 1232 meV/atom
DOS(E_F) = 3.97 states/eV/cell
SG = P4/mmm
volume = 23.15 Å³ per atom
DFT total energy = -97.15 eV per formula unit


No. 9
The following is a DFT calculation (SCAN) of CaLaCu2 at its PBEsol-relaxed geometry.

Structure (POSCAR):
```
CaLaCu2
1.0
4.431 0.000 0.000
0.000 1.968 5.310
0.000 -1.968 5.310
Ca La Cu
1 1 2
Direct
0.000 0.000 0.000
0.500 0.720 0.720
0.000 0.295 0.295
0.500 0.424 0.424
```

Computed properties:
energy of formation = -150 meV/atom
DOS(E_F) = 3.05 states/eV/cell
SG = Amm2
volume = 23.16 Å³ per atom
DFT total energy = -83.77 eV per formula unit


No. 10
The following is a DFT calculation (SCAN) of CaLaCu at its PBEsol-relaxed geometry.

Structure (POSCAR):
```
CaLaCu
1.0
-1.769 1.769 6.586
1.769 -1.769 6.586
1.769 1.769 -6.586
Ca La Cu
1 1 1
Direct
0.000 0.000 0.000
0.263 0.263 0.000
0.634 0.634 0.000
```

Computed properties:
energy of formation = -57 meV/atom
DOS(E_F) = 3.69 states/eV/cell
SG = I4mm
volume = 27.49 Å³ per atom
DFT total energy = -68.14 eV per formula unit


No. 11
The following is a DFT calculation (SCAN) of CaLaCu2 at its PBEsol-relaxed geometry.

Structure (POSCAR):
```
CaLaCu2
1.0
5.044 0.000 0.000
0.000 5.044 0.000
0.000 0.000 3.449
Ca La Cu
1 1 2
Direct
0.000 0.000 0.000
0.500 0.500 0.000
0.000 0.500 0.500
0.500 0.000 0.500
```

Computed properties:
energy of formation = -99 meV/atom
DOS(E_F) = 3.11 states/eV/cell
SG = P4/mmm
volume = 21.93 Å³ per atom
DFT total energy = -83.56 eV per formula unit


No. 12
The following is a DFT calculation (SCAN) of CaLaCu at its PBEsol-relaxed geometry.

Structure (POSCAR):
```
CaLaCu
1.0
3.864 0.000 0.000
-1.932 3.346 0.000
0.000 0.000 7.030
Ca La Cu
1 1 1
Direct
0.000 0.000 0.000
0.333 0.667 0.479
0.667 0.333 0.734
```

Computed properties:
energy of formation = 67 meV/atom
DOS(E_F) = 3.27 states/eV/cell
SG = P3m1
volume = 30.29 Å³ per atom
DFT total energy = -67.77 eV per formula unit


No. 13
The following is a DFT calculation (SCAN) of Ca2LaCu at its PBEsol-relaxed geometry.

Structure (POSCAR):
```
Ca2LaCu
1.0
4.591 0.000 0.000
0.000 4.591 0.000
0.000 0.000 5.453
Ca La Cu
2 1 1
Direct
0.000 0.500 0.000
0.500 0.000 0.000
0.000 0.000 0.500
0.500 0.500 0.500
```

Computed properties:
energy of formation = 203 meV/atom
DOS(E_F) = 2.62 states/eV/cell
SG = P4/mmm
volume = 28.74 Å³ per atom
DFT total energy = -76.82 eV per formula unit


No. 14
The following is a DFT calculation (SCAN) of CaLa2Cu2 at its PBEsol-relaxed geometry.

Structure (POSCAR):
```
CaLa2Cu2
1.0
8.148 0.000 0.000
0.000 8.148 0.000
0.000 0.000 3.861
Ca La Cu
2 4 4
Direct
0.000 0.000 0.000
0.500 0.500 0.000
0.159 0.341 0.500
0.341 0.841 0.500
0.659 0.159 0.500
0.841 0.659 0.500
0.120 0.620 0.000
0.380 0.120 0.000
0.620 0.880 0.000
0.880 0.380 0.000
```

Computed properties:
energy of formation = -115 meV/atom
DOS(E_F) = 9.95 states/eV/cell
SG = P4/mbm
volume = 25.64 Å³ per atom
DFT total energy = -126.85 eV per formula unit


No. 15
The following is a DFT calculation (SCAN) of CaLaCu at its PBEsol-relaxed geometry.

Structure (POSCAR):
```
CaLaCu
1.0
0.000 3.508 3.508
3.508 0.000 3.508
3.508 3.508 0.000
Ca La Cu
1 1 1
Direct
0.000 0.000 0.000
0.500 0.500 0.500
0.250 0.250 0.250
```

Computed properties:
energy of formation = 27 meV/atom
DOS(E_F) = 4.33 states/eV/cell
SG = F-43m
volume = 28.77 Å³ per atom
DFT total energy = -67.89 eV per formula unit


No. 16
The following is a DFT calculation (SCAN) of Ca2LaCu at its PBEsol-relaxed geometry.

Structure (POSCAR):
```
Ca2LaCu
1.0
3.594 0.000 0.000
0.000 3.594 0.000
0.000 0.000 9.412
Ca La Cu
2 1 1
Direct
0.000 0.000 0.000
0.500 0.500 0.320
0.500 0.500 0.682
0.000 0.000 0.506
```

Computed properties:
energy of formation = -33 meV/atom
DOS(E_F) = 4.54 states/eV/cell
SG = P4mm
volume = 30.40 Å³ per atom
DFT total energy = -77.76 eV per formula unit


No. 17
The following is a DFT calculation (SCAN) of Ca2LaCu at its PBEsol-relaxed geometry.

Structure (POSCAR):
```
Ca2LaCu
1.0
3.893 0.000 0.000
0.000 2.027 8.272
0.000 -2.027 8.272
Ca La Cu
2 1 1
Direct
0.000 0.000 0.000
0.500 0.339 0.339
0.500 0.649 0.649
0.000 0.202 0.202
```

Computed properties:
energy of formation = 8 meV/atom
DOS(E_F) = 3.60 states/eV/cell
SG = Amm2
volume = 32.63 Å³ per atom
DFT total energy = -77.60 eV per formula unit


No. 18
The following is a DFT calculation (SCAN) of Sr4CaLaTl2Cu4O14 at its PBEsol-relaxed geometry.

Structure (POSCAR):
```
Sr4CaLaTl2Cu4O14
1.0
-2.663 2.663 12.130
2.663 -2.663 12.130
2.663 2.663 -12.130
Sr Ca La Tl Cu O
4 1 1 2 4 14
Direct
0.146 0.146 0.000
0.352 0.352 0.000
0.648 0.648 0.000
0.854 0.854 0.000
0.000 0.000 0.000
0.500 0.500 0.000
0.250 0.750 0.500
0.750 0.250 0.500
0.073 0.573 0.500
0.427 0.927 0.500
0.573 0.073 0.500
0.927 0.427 0.500
0.164 0.664 0.500
0.183 0.183 0.497
0.183 0.686 0.000
0.250 0.250 0.000
0.314 0.314 0.497
0.314 0.817 0.000
0.336 0.836 0.500
0.664 0.164 0.500
0.686 0.183 0.000
0.686 0.686 0.503
0.750 0.750 0.000
0.817 0.314 0.000
0.817 0.817 0.503
0.836 0.336 0.500
```

Computed properties:
DOS(E_F) = 4.62 states/eV/cell
SG = I4/mmm
formation energy (no corrections) = -1.992 eV/atom
volume = 13.24 Å³ per atom
DFT total energy = -486.42 eV per formula unit


No. 19
The following is a DFT calculation (SCAN) of LiCaCu2 at its PBEsol-relaxed geometry.

Structure (POSCAR):
```
LiCaCu2
1.0
2.085 1.204 4.918
-2.085 1.204 4.918
0.000 -2.407 4.918
Li Ca Cu
1 1 2
Direct
0.000 0.000 0.000
0.196 0.196 0.196
0.404 0.404 0.404
0.730 0.730 0.730
```

Computed properties:
energy of formation = -48 meV/atom
DOS(E_F) = 1.54 states/eV/cell
SG = R3m
volume = 18.51 Å³ per atom
DFT total energy = -42.64 eV per formula unit


No. 20
The following is a DFT calculation (SCAN) of LiCaCu2 at its PBEsol-relaxed geometry.

Structure (POSCAR):
```
LiCaCu2
1.0
2.092 1.208 4.875
-2.092 1.208 4.875
0.000 -2.416 4.875
Li Ca Cu
1 1 2
Direct
0.000 0.000 0.000
0.500 0.500 0.500
0.304 0.304 0.304
0.696 0.696 0.696
```

Computed properties:
energy of formation = -49 meV/atom
DOS(E_F) = 1.29 states/eV/cell
SG = R-3m
volume = 18.48 Å³ per atom
DFT total energy = -42.65 eV per formula unit


No. 21
The following is a DFT calculation (SCAN) of LiCa2Cu at its PBEsol-relaxed geometry.

Structure (POSCAR):
```
LiCa2Cu
1.0
4.339 0.000 0.000
0.000 2.106 5.607
0.000 -2.106 5.607
Li Ca Cu
1 2 1
Direct
0.000 0.000 0.000
0.000 0.700 0.700
0.500 0.412 0.412
0.500 0.124 0.124
```

Computed properties:
energy of formation = -12 meV/atom
DOS(E_F) = 2.67 states/eV/cell
SG = Amm2
volume = 25.62 Å³ per atom
DFT total energy = -36.96 eV per formula unit


No. 22
The following is a DFT calculation (SCAN) of LiCaCu2 at its PBEsol-relaxed geometry.

Structure (POSCAR):
```
LiCaCu2
1.0
3.311 0.000 0.000
0.000 3.311 0.000
0.000 0.000 6.173
Li Ca Cu
1 1 2
Direct
0.000 0.000 0.000
0.000 0.000 0.500
0.500 0.500 0.195
0.500 0.500 0.805
```

Computed properties:
energy of formation = 22 meV/atom
DOS(E_F) = 0.94 states/eV/cell
SG = P4/mmm
volume = 16.91 Å³ per atom
DFT total energy = -42.37 eV per formula unit


No. 23
The following is a DFT calculation (SCAN) of LiCa2Cu at its PBEsol-relaxed geometry.

Structure (POSCAR):
```
LiCa2Cu
1.0
5.141 0.000 0.000
0.000 5.141 0.000
0.000 0.000 3.711
Li Ca Cu
1 2 1
Direct
0.000 0.000 0.000
0.000 0.500 0.500
0.500 0.000 0.500
0.500 0.500 0.000
```

Computed properties:
energy of formation = 45 meV/atom
DOS(E_F) = 3.28 states/eV/cell
SG = P4/mmm
volume = 24.52 Å³ per atom
DFT total energy = -36.74 eV per formula unit


No. 24
The following is a DFT calculation (SCAN) of CaMgCu at its PBEsol-relaxed geometry.

Structure (POSCAR):
```
CaMgCu
1.0
6.621 0.000 0.000
0.000 6.430 0.000
-4.918 0.000 6.595
Ca Mg Cu
4 4 4
Direct
0.215 0.149 0.427
0.215 0.351 0.927
0.785 0.649 0.073
0.785 0.851 0.573
0.254 0.645 0.583
0.254 0.855 0.083
0.746 0.145 0.917
0.746 0.355 0.417
0.344 0.552 0.323
0.344 0.948 0.823
0.656 0.052 0.177
0.656 0.448 0.677
```

Computed properties:
energy of formation = -86 meV/atom
DOS(E_F) = 5.97 states/eV/cell
SG = P2_1/c
volume = 23.40 Å³ per atom
DFT total energy = -30.09 eV per formula unit


No. 25
The following is a DFT calculation (SCAN) of Ca2MgCu at its PBEsol-relaxed geometry.

Structure (POSCAR):
```
Ca2MgCu
1.0
5.111 0.000 0.000
0.000 5.111 0.000
0.000 0.000 3.873
Ca Mg Cu
2 1 1
Direct
0.000 0.500 0.000
0.500 0.000 0.000
0.000 0.000 0.500
0.500 0.500 0.500
```

Computed properties:
energy of formation = 47 meV/atom
DOS(E_F) = 3.39 states/eV/cell
SG = P4/mmm
volume = 25.29 Å³ per atom
DFT total energy = -39.31 eV per formula unit


No. 26
The following is a DFT calculation (SCAN) of Ca2MgCu at its PBEsol-relaxed geometry.

Structure (POSCAR):
```
Ca2MgCu
1.0
3.532 0.000 0.000
0.000 3.532 0.000
0.000 0.000 8.150
Ca Mg Cu
2 1 1
Direct
0.000 0.000 0.209
0.000 0.000 0.791
0.500 0.500 0.500
0.500 0.500 0.000
```

Computed properties:
energy of formation = -41 meV/atom
DOS(E_F) = 3.16 states/eV/cell
SG = P4/mmm
volume = 25.41 Å³ per atom
DFT total energy = -39.66 eV per formula unit


No. 27
The following is a DFT calculation (SCAN) of CaMg2Cu at its PBEsol-relaxed geometry.

Structure (POSCAR):
```
CaMg2Cu
1.0
-2.333 2.333 8.156
2.333 -2.333 8.156
2.333 2.333 -8.156
Ca Mg Cu
2 4 2
Direct
0.147 0.147 0.000
0.853 0.853 0.000
0.000 0.500 0.500
0.349 0.349 0.000
0.500 0.000 0.500
0.651 0.651 0.000
0.250 0.750 0.500
0.750 0.250 0.500
```

Computed properties:
energy of formation = -34 meV/atom
DOS(E_F) = 4.09 states/eV/cell
SG = I4/mmm
volume = 22.21 Å³ per atom
DFT total energy = -34.95 eV per formula unit